DFT (PBE-GGA) results for crystalline TiAlCr3 at its relaxed geometry.

Cell and atoms, written as extended XYZ:
```
5
Lattice="4.4472 0.0000 0.0000 0.0000 4.4472 0.0000 0.0000 0.0000 4.4472" Properties=species:S:1:pos:R:3 pbc="T T T"
Ti 0.0000 0.0000 0.0000
Al 2.2236 2.2236 2.2236
Cr 0.0000 2.2236 2.2236
Cr 2.2236 0.0000 2.2236
Cr 2.2236 2.2236 0.0000
```

Calculated values
- ΔE_f (eV/atom) = 1.281
- total energy (eV per atom) = -6.82
- energy above the lowest structure with this stoichiometry (eV/f.u.) = 0.00